No. 1
Compound: GaSiMo
Source: OQMD via LeMat-Bulk
Functional: PBE
Structure: relaxed

VASP energy	-73.55	eV/cell

Geometry as CIF:
```
data_GaSiMo
_chemical_formula_sum 'Ga4 Si4 Mo4'
_cell_length_a 5.825
_cell_length_b 5.825
_cell_length_c 5.825
_cell_angle_alpha 90.00
_cell_angle_beta 90.00
_cell_angle_gamma 90.00
_symmetry_space_group_name_H-M 'F -4 3 m'
_symmetry_Int_Tables_number 216
_symmetry_space_group_name_Hall 'F -4 2 3'
loop_
_atom_site_label
_atom_site_fract_x
_atom_site_fract_y
_atom_site_fract_z
Ga1 0.000 0.000 0.000
Si1 0.250 0.250 0.250
Mo1 0.000 0.000 0.500
```

***

No. 2
Compound: Pr4GeBr5
Source: OQMD via LeMat-Bulk
Functional: PBE
Structure: relaxed

VASP energy	-94.97	eV/cell

Geometry as CIF:
```
data_Pr4GeBr5
_chemical_formula_sum 'Pr8 Ge2 Br10'
_cell_length_a 18.951
_cell_length_b 4.237
_cell_length_c 8.770
_cell_angle_alpha 90.00
_cell_angle_beta 103.37
_cell_angle_gamma 90.00
_symmetry_space_group_name_H-M 'C 1 2/m 1'
_symmetry_Int_Tables_number 12
_symmetry_space_group_name_Hall '-C 2y'
loop_
_atom_site_label
_atom_site_fract_x
_atom_site_fract_y
_atom_site_fract_z
Pr1 0.000 0.000 0.228
Pr2 0.154 0.500 0.082
Ge1 0.000 0.500 0.000
Br1 0.000 0.500 0.500
Br2 0.167 0.000 0.332
Br3 0.170 0.000 0.839
```

***

No. 3
Compound: DyHoPO
Source: OQMD via LeMat-Bulk
Functional: PBE
Structure: relaxed

VASP energy	-54.48	eV/cell

Geometry as CIF:
```
data_DyHoPO
_chemical_formula_sum 'Dy2 Ho2 P2 O2'
_cell_length_a 4.297
_cell_length_b 4.297
_cell_length_c 8.514
_cell_angle_alpha 90.00
_cell_angle_beta 90.00
_cell_angle_gamma 90.00
_symmetry_space_group_name_H-M 'P 4/n m m'
_symmetry_Int_Tables_number 129
loop_
_symmetry_equiv_pos_as_xyz
'x,y,z'
'-x,-y,-z'
'-y+1/2,x,z'
'y+1/2,-x,-z'
'-x+1/2,-y+1/2,z'
'x+1/2,y+1/2,-z'
'y,-x+1/2,z'
'-y,x+1/2,-z'
'x+1/2,-y,-z'
'-x+1/2,y,z'
'-y,-x,-z'
'y,x,z'
'-x,y+1/2,-z'
'x,-y+1/2,z'
'y+1/2,x+1/2,-z'
'-y+1/2,-x+1/2,z'
loop_
_atom_site_label
_atom_site_fract_x
_atom_site_fract_y
_atom_site_fract_z
Dy1 0.250 0.250 0.103
Ho1 0.250 0.750 0.500
P1 0.250 0.250 0.696
O1 0.250 0.750 0.000
```

***

No. 4
Compound: PmSnPt2
Source: OQMD via LeMat-Bulk
Functional: PBE
Structure: relaxed

VASP energy	-98.33	eV/cell

Geometry as CIF:
```
data_PmSnPt2
_chemical_formula_sum 'Pm4 Sn4 Pt8'
_cell_length_a 7.525
_cell_length_b 7.213
_cell_length_c 6.390
_cell_angle_alpha 90.00
_cell_angle_beta 90.00
_cell_angle_gamma 90.00
_symmetry_space_group_name_H-M 'P n m a'
_symmetry_Int_Tables_number 62
_symmetry_space_group_name_Hall '-P 2ac 2n'
loop_
_atom_site_label
_atom_site_fract_x
_atom_site_fract_y
_atom_site_fract_z
Pm1 0.024 0.250 0.171
Sn1 0.116 0.750 0.335
Pt1 0.193 0.052 0.558
```

***

No. 5
Compound: Sc2AlPd
Source: OQMD via LeMat-Bulk
Functional: PBE
Structure: relaxed

VASP energy	-94.23	eV/cell

Geometry as CIF:
```
data_Sc2AlPd
_chemical_formula_sum 'Sc8 Al4 Pd4'
_cell_length_a 6.593
_cell_length_b 6.593
_cell_length_c 6.593
_cell_angle_alpha 90.00
_cell_angle_beta 90.00
_cell_angle_gamma 90.00
_symmetry_space_group_name_H-M 'F -4 3 m'
_symmetry_Int_Tables_number 216
_symmetry_space_group_name_Hall 'F -4 2 3'
loop_
_atom_site_label
_atom_site_fract_x
_atom_site_fract_y
_atom_site_fract_z
Sc1 0.000 0.000 0.000
Sc2 0.250 0.250 0.250
Al1 0.000 0.000 0.500
Pd1 0.250 0.250 0.750
```

***

No. 6
Compound: Sc2CuB
Source: OQMD via LeMat-Bulk
Functional: PBE
Structure: relaxed

VASP energy	-46.21	eV/cell

Geometry as CIF:
```
data_Sc2CuB
_chemical_formula_sum 'Sc4 Cu2 B2'
_cell_length_a 3.5415
_cell_length_b 3.5415
_cell_length_c 12.9605
_cell_angle_alpha 90.00
_cell_angle_beta 90.00
_cell_angle_gamma 120.00
_symmetry_space_group_name_H-M 'P 63/m m c'
_symmetry_Int_Tables_number 194
_symmetry_space_group_name_Hall '-P 6c 2c'
loop_
_atom_site_label
_atom_site_fract_x
_atom_site_fract_y
_atom_site_fract_z
Sc1 0.3333 0.6667 0.0976
Cu1 0.3333 0.6667 0.7500
B1 0.0000 0.0000 0.0000
```

***

No. 7
Compound: DyNb
Source: OQMD via LeMat-Bulk
Functional: PBE
Structure: relaxed

calculated formation energy	0.46	eV/atom

Geometry as CIF:
```
data_DyNb
_chemical_formula_sum 'Dy1 Nb1'
_cell_length_a 3.2059
_cell_length_b 3.2059
_cell_length_c 5.2721
_cell_angle_alpha 90.00
_cell_angle_beta 90.00
_cell_angle_gamma 120.00
_symmetry_space_group_name_H-M 'P -6 m 2'
_symmetry_Int_Tables_number 187
_symmetry_space_group_name_Hall 'P -6 2'
loop_
_atom_site_label
_atom_site_fract_x
_atom_site_fract_y
_atom_site_fract_z
Dy1 0.0000 0.0000 0.0000
Nb1 0.6667 0.3333 0.5000
```

***

No. 8
Compound: TbErCo
Source: OQMD via LeMat-Bulk
Functional: PBE
Structure: relaxed

calculated formation energy	0.79	eV/atom

Geometry as CIF:
```
data_TbErCo
_chemical_formula_sum 'Tb4 Er4 Co4'
_cell_length_a 6.570
_cell_length_b 6.570
_cell_length_c 6.570
_cell_angle_alpha 90.00
_cell_angle_beta 90.00
_cell_angle_gamma 90.00
_symmetry_space_group_name_H-M 'F -4 3 m'
_symmetry_Int_Tables_number 216
_symmetry_space_group_name_Hall 'F -4 2 3'
loop_
_atom_site_label
_atom_site_fract_x
_atom_site_fract_y
_atom_site_fract_z
Tb1 0.000 0.000 0.000
Er1 0.250 0.250 0.750
Co1 0.000 0.000 0.500
```

***

No. 9
Compound: YTm6Co2Te2
Source: OQMD via LeMat-Bulk
Functional: PBE
Structure: relaxed

VASP energy	-121.34	eV/cell

Geometry as CIF:
```
data_YTm6Co2Te2
_chemical_formula_sum 'Y2 Tm12 Co4 Te4'
_cell_length_a 3.798
_cell_length_b 15.510
_cell_length_c 9.367
_cell_angle_alpha 90.00
_cell_angle_beta 90.00
_cell_angle_gamma 90.00
_symmetry_space_group_name_H-M 'I m m 2'
_symmetry_Int_Tables_number 44
_symmetry_space_group_name_Hall 'I 2 -2'
loop_
_atom_site_label
_atom_site_fract_x
_atom_site_fract_y
_atom_site_fract_z
Y1 0.000 0.000 0.000
Tm1 0.000 0.135 0.418
Tm2 0.000 0.314 0.623
Tm3 0.000 0.350 0.270
Co1 0.000 0.238 0.929
Te1 0.000 0.000 0.663
Te2 0.000 0.500 0.767
```

***

No. 10
Compound: NdEr4Ag5
Source: OQMD via LeMat-Bulk
Functional: PBE
Structure: relaxed

calculated formation energy	-0.33	eV/atom

Geometry as CIF:
```
data_NdEr4Ag5
_chemical_formula_sum 'Nd1 Er4 Ag5'
_cell_length_a 3.608
_cell_length_b 3.608
_cell_length_c 18.243
_cell_angle_alpha 90.00
_cell_angle_beta 90.00
_cell_angle_gamma 90.00
_symmetry_space_group_name_H-M 'P 4/m m m'
_symmetry_Int_Tables_number 123
_symmetry_space_group_name_Hall '-P 4 2'
loop_
_atom_site_label
_atom_site_fract_x
_atom_site_fract_y
_atom_site_fract_z
Nd1 0.000 0.000 0.000
Er1 0.000 0.000 0.206
Er2 0.000 0.000 0.402
Ag1 0.500 0.500 0.111
Ag2 0.500 0.500 0.303
Ag3 0.500 0.500 0.500
```

***

No. 11
Compound: LaPr2P3
Source: OQMD via LeMat-Bulk
Functional: PBE
Structure: relaxed

VASP energy	-39.93	eV/cell

Geometry as CIF:
```
data_LaPr2P3
_chemical_formula_sum 'La1 Pr2 P3'
_cell_length_a 4.2270
_cell_length_b 4.2270
_cell_length_c 10.3467
_cell_angle_alpha 90.00
_cell_angle_beta 90.00
_cell_angle_gamma 120.00
_symmetry_space_group_name_H-M 'P -3 m 1'
_symmetry_Int_Tables_number 164
_symmetry_space_group_name_Hall '-P 3 2"'
loop_
_atom_site_label
_atom_site_fract_x
_atom_site_fract_y
_atom_site_fract_z
La1 0.0000 0.0000 0.0000
Pr1 0.3333 0.6667 0.3348
P1 0.0000 0.0000 0.5000
P2 0.3333 0.6667 0.8316
```

***

No. 12
Compound: BaPuFe
Source: OQMD via LeMat-Bulk
Functional: PBE
Structure: relaxed

VASP energy	-87.87	eV/cell

Geometry as CIF:
```
data_BaPuFe
_chemical_formula_sum 'Ba4 Pu4 Fe4'
_cell_length_a 6.679
_cell_length_b 6.679
_cell_length_c 6.679
_cell_angle_alpha 90.00
_cell_angle_beta 90.00
_cell_angle_gamma 90.00
_symmetry_space_group_name_H-M 'F -4 3 m'
_symmetry_Int_Tables_number 216
_symmetry_space_group_name_Hall 'F -4 2 3'
loop_
_atom_site_label
_atom_site_fract_x
_atom_site_fract_y
_atom_site_fract_z
Ba1 0.000 0.000 0.000
Pu1 0.000 0.000 0.500
Fe1 0.250 0.250 0.750
```

***

No. 13
Compound: PrSm2Nb2N6
Source: OQMD via LeMat-Bulk
Functional: PBE
Structure: relaxed

VASP energy	-195.61	eV/cell

Geometry as CIF:
```
data_PrSm2Nb2N6
_chemical_formula_sum 'Pr2 Sm4 Nb4 N12'
_cell_length_a 4.059
_cell_length_b 4.059
_cell_length_c 19.569
_cell_angle_alpha 90.00
_cell_angle_beta 90.00
_cell_angle_gamma 90.00
_symmetry_space_group_name_H-M 'I 4/m m m'
_symmetry_Int_Tables_number 139
_symmetry_space_group_name_Hall '-I 4 2'
loop_
_atom_site_label
_atom_site_fract_x
_atom_site_fract_y
_atom_site_fract_z
Pr1 0.000 0.000 0.000
Sm1 0.000 0.000 0.178
Nb1 0.000 0.000 0.396
N1 0.000 0.000 0.297
N2 0.000 0.500 0.086
```

***

No. 14
Compound: Pa2B2O5
Source: OQMD via LeMat-Bulk
Functional: PBE
Structure: relaxed

VASP energy	-64.72	eV/cell

Geometry as CIF:
```
data_Pa2B2O5
_chemical_formula_sum 'Pa2 B2 O5'
_cell_length_a 4.284
_cell_length_b 4.284
_cell_length_c 8.616
_cell_angle_alpha 90.00
_cell_angle_beta 90.00
_cell_angle_gamma 90.00
_symmetry_space_group_name_H-M 'P 4/m m m'
_symmetry_Int_Tables_number 123
_symmetry_space_group_name_Hall '-P 4 2'
loop_
_atom_site_label
_atom_site_fract_x
_atom_site_fract_y
_atom_site_fract_z
Pa1 0.000 0.000 0.249
B1 0.500 0.500 0.000
B2 0.500 0.500 0.500
O1 0.000 0.000 0.000
O2 0.000 0.500 0.250
```

***

No. 15
Compound: Zr3Zn2Tc
Source: OQMD via LeMat-Bulk
Functional: PBE
Structure: relaxed

calculated formation energy	-0.35	eV/atom

Geometry as CIF:
```
data_Zr3Zn2Tc
_chemical_formula_sum 'Zr3 Zn2 Tc1'
_cell_length_a 3.355
_cell_length_b 3.355
_cell_length_c 9.795
_cell_angle_alpha 90.00
_cell_angle_beta 90.00
_cell_angle_gamma 90.00
_symmetry_space_group_name_H-M 'P 4/m m m'
_symmetry_Int_Tables_number 123
_symmetry_space_group_name_Hall '-P 4 2'
loop_
_atom_site_label
_atom_site_fract_x
_atom_site_fract_y
_atom_site_fract_z
Zr1 0.000 0.000 0.000
Zr2 0.000 0.000 0.340
Zn1 0.500 0.500 0.169
Tc1 0.500 0.500 0.500
```

***

No. 16
Compound: SrNdCBr2N2
Source: OQMD via LeMat-Bulk
Functional: PBE
Structure: relaxed

VASP energy	-88.22	eV/cell

Geometry as CIF:
```
data_SrNdCBr2N2
_chemical_formula_sum 'Sr2 Nd2 C2 Br4 N4'
_cell_length_a 10.033
_cell_length_b 4.090
_cell_length_c 7.561
_cell_angle_alpha 90.00
_cell_angle_beta 99.20
_cell_angle_gamma 90.00
_symmetry_space_group_name_H-M 'C 1 m 1'
_symmetry_Int_Tables_number 8
_symmetry_space_group_name_Hall 'C -2y'
loop_
_atom_site_label
_atom_site_fract_x
_atom_site_fract_y
_atom_site_fract_z
Sr1 0.000 0.000 0.000
Nd1 0.364 0.000 0.558
C1 0.179 0.500 0.778
Br1 0.057 0.000 0.440
Br2 0.310 0.000 0.140
N1 0.063 0.500 0.817
N2 0.294 0.500 0.737
```

***

No. 17
Compound: ReC2I2O2
Source: OQMD via LeMat-Bulk
Functional: PBE
Structure: relaxed

VASP energy	-424.62	eV/cell

Geometry as CIF:
```
data_ReC2I2O2
_chemical_formula_sum 'Re9 C18 I18 O18'
_cell_length_a 6.9113
_cell_length_b 6.9113
_cell_length_c 36.8689
_cell_angle_alpha 90.00
_cell_angle_beta 90.00
_cell_angle_gamma 120.00
_symmetry_space_group_name_H-M 'R -3'
_symmetry_Int_Tables_number 148
_symmetry_space_group_name_Hall '-R 3'
loop_
_atom_site_label
_atom_site_fract_x
_atom_site_fract_y
_atom_site_fract_z
Re1 0.0000 0.0000 0.0000
Re2 0.0000 0.0000 0.0930
C1 0.0067 0.2345 0.8784
I1 0.0025 0.3180 0.0440
O1 0.0137 0.3823 0.8620
```

***

No. 18
Compound: Bi5Pt3Au
Source: OQMD via LeMat-Bulk
Functional: PBE
Structure: relaxed

VASP energy	-41.71	eV/cell

Geometry as CIF:
```
data_Bi5Pt3Au
_chemical_formula_sum 'Bi5 Pt3 Au1'
_cell_length_a 5.7054
_cell_length_b 5.7054
_cell_length_c 8.2792
_cell_angle_alpha 90.00
_cell_angle_beta 90.00
_cell_angle_gamma 120.00
_symmetry_space_group_name_H-M 'P 6/m m m'
_symmetry_Int_Tables_number 191
_symmetry_space_group_name_Hall '-P 6 2'
loop_
_atom_site_label
_atom_site_fract_x
_atom_site_fract_y
_atom_site_fract_z
Bi1 0.0000 0.0000 0.0000
Bi2 0.3333 0.6667 0.2949
Pt1 0.0000 0.5000 0.0000
Au1 0.0000 0.0000 0.5000
```

***

No. 19
Compound: Li2Mg2GePd2Pb
Source: OQMD via LeMat-Bulk
Functional: PBE
Structure: relaxed

VASP energy	-29.45	eV/cell

Geometry as CIF:
```
data_Li2Mg2GePd2Pb
_chemical_formula_sum 'Li2 Mg2 Ge1 Pd2 Pb1'
_cell_length_a 4.539
_cell_length_b 4.539
_cell_length_c 6.550
_cell_angle_alpha 90.00
_cell_angle_beta 90.00
_cell_angle_gamma 90.00
_symmetry_space_group_name_H-M 'P -4 m 2'
_symmetry_Int_Tables_number 115
_symmetry_space_group_name_Hall 'P -4 -2'
loop_
_atom_site_label
_atom_site_fract_x
_atom_site_fract_y
_atom_site_fract_z
Li1 0.000 0.500 0.227
Mg1 0.000 0.000 0.000
Mg2 0.500 0.500 0.500
Ge1 0.500 0.500 0.000
Pd1 0.000 0.500 0.779
Pb1 0.000 0.000 0.500
```

***

No. 20
Compound: PmNpSc
Source: OQMD via LeMat-Bulk
Functional: PBE
Structure: relaxed

calculated formation energy	1.10	eV/atom

Geometry as CIF:
```
data_PmNpSc
_chemical_formula_sum 'Pm4 Np4 Sc4'
_cell_length_a 7.125
_cell_length_b 7.125
_cell_length_c 7.125
_cell_angle_alpha 90.00
_cell_angle_beta 90.00
_cell_angle_gamma 90.00
_symmetry_space_group_name_H-M 'F -4 3 m'
_symmetry_Int_Tables_number 216
_symmetry_space_group_name_Hall 'F -4 2 3'
loop_
_atom_site_label
_atom_site_fract_x
_atom_site_fract_y
_atom_site_fract_z
Pm1 0.000 0.000 0.000
Np1 0.000 0.000 0.500
Sc1 0.250 0.250 0.750
```

***

No. 21
Compound: GdDyNb2Sn2
Source: OQMD via LeMat-Bulk
Functional: PBE
Structure: relaxed

VASP energy	-40.07	eV/cell

Geometry as CIF:
```
data_GdDyNb2Sn2
_chemical_formula_sum 'Gd1 Dy1 Nb2 Sn2'
_cell_length_a 4.196
_cell_length_b 4.196
_cell_length_c 8.219
_cell_angle_alpha 90.00
_cell_angle_beta 90.00
_cell_angle_gamma 90.00
_symmetry_space_group_name_H-M 'P 4 m m'
_symmetry_Int_Tables_number 99
_symmetry_space_group_name_Hall 'P 4 -2'
loop_
_atom_site_label
_atom_site_fract_x
_atom_site_fract_y
_atom_site_fract_z
Gd1 0.000 0.000 0.000
Dy1 0.500 0.500 0.295
Nb1 0.000 0.500 0.646
Sn1 0.000 0.000 0.395
Sn2 0.500 0.500 0.896
```

***

No. 22
Compound: Zr2PdPb
Source: OQMD via LeMat-Bulk
Functional: PBE
Structure: relaxed

VASP energy	-103.90	eV/cell

Geometry as CIF:
```
data_Zr2PdPb
_chemical_formula_sum 'Zr8 Pd4 Pb4'
_cell_length_a 7.003
_cell_length_b 7.003
_cell_length_c 7.003
_cell_angle_alpha 90.00
_cell_angle_beta 90.00
_cell_angle_gamma 90.00
_symmetry_space_group_name_H-M 'F -4 3 m'
_symmetry_Int_Tables_number 216
_symmetry_space_group_name_Hall 'F -4 2 3'
loop_
_atom_site_label
_atom_site_fract_x
_atom_site_fract_y
_atom_site_fract_z
Zr1 0.000 0.000 0.000
Zr2 0.250 0.250 0.250
Pd1 0.250 0.250 0.750
Pb1 0.000 0.000 0.500
```

***

No. 23
Compound: Li2Mg2InGaCu2
Source: OQMD via LeMat-Bulk
Functional: PBE
Structure: relaxed

VASP energy	-21.85	eV/cell

Geometry as CIF:
```
data_Li2Mg2InGaCu2
_chemical_formula_sum 'Li2 Mg2 In1 Ga1 Cu2'
_cell_length_a 4.447
_cell_length_b 4.447
_cell_length_c 6.302
_cell_angle_alpha 90.00
_cell_angle_beta 90.00
_cell_angle_gamma 90.00
_symmetry_space_group_name_H-M 'P -4 m 2'
_symmetry_Int_Tables_number 115
_symmetry_space_group_name_Hall 'P -4 -2'
loop_
_atom_site_label
_atom_site_fract_x
_atom_site_fract_y
_atom_site_fract_z
Li1 0.000 0.500 0.235
Mg1 0.000 0.000 0.500
Mg2 0.500 0.500 0.000
In1 0.500 0.500 0.500
Ga1 0.000 0.000 0.000
Cu1 0.000 0.500 0.766
```

***

No. 24
Compound: RbScHgSe3
Source: OQMD via LeMat-Bulk
Functional: PBE
Structure: relaxed

VASP energy	-98.45	eV/cell

Geometry as CIF:
```
data_RbScHgSe3
_chemical_formula_sum 'Rb4 Sc4 Hg4 Se12'
_cell_length_a 15.207
_cell_length_b 4.121
_cell_length_c 10.992
_cell_angle_alpha 90.00
_cell_angle_beta 90.00
_cell_angle_gamma 90.00
_symmetry_space_group_name_H-M 'P n m a'
_symmetry_Int_Tables_number 62
_symmetry_space_group_name_Hall '-P 2ac 2n'
loop_
_atom_site_label
_atom_site_fract_x
_atom_site_fract_y
_atom_site_fract_z
Rb1 0.236 0.250 0.055
Sc1 0.022 0.250 0.356
Hg1 0.018 0.750 0.105
Se1 0.087 0.250 0.578
Se2 0.095 0.750 0.863
Se3 0.135 0.750 0.280
```